An optimized crystal structure of YZrTa2. Source: Alexandria via LeMat-Bulk, functional PBE.

Its space-group type is Pmm2 (25). Its energy above the most stable polymorph in this dataset is 0.76 eV per formula unit.

Cell: 3.028 4.591 6.389 Å, 90.00 90.00 90.00°
Fractional coordinates of all 4 atoms:
Y 0.000 0.000 0.000
Zr 0.500 0.500 0.284
Ta 0.000 0.000 0.521
Ta 0.500 0.500 0.724

An optimized crystal structure of YZrTa2. Source: Alexandria via LeMat-Bulk, functional PBE.

Its space-group type is F-43m (216). Its energy above the most stable polymorph in this dataset is 0.75 eV per formula unit.

Cell: 4.955 4.955 4.955 Å, 60.00 60.00 60.00°
Fractional coordinates of all 4 atoms:
Y 0.000 0.000 0.000
Zr 0.250 0.250 0.250
Ta 0.500 0.500 0.500
Ta 0.750 0.750 0.750

An optimized crystal structure of YZrTa2. Source: Alexandria via LeMat-Bulk, functional PBE.

Its space-group type is P4/mmm (123). Its energy above the most stable polymorph in this dataset is 0.95 eV per formula unit.

Cell: 4.232 4.232 4.873 Å, 90.00 90.00 90.00°
Fractional coordinates of all 4 atoms:
Y 0.000 0.000 0.000
Zr 0.500 0.500 0.000
Ta 0.000 0.500 0.500
Ta 0.500 0.000 0.500

An optimized crystal structure of YZr2Ta. Source: Alexandria via LeMat-Bulk, functional PBE.

Its space-group type is P4mm (99). Its energy above the most stable polymorph in this dataset is 0.17 eV per formula unit.

Cell: 3.693 3.693 7.083 Å, 90.00 90.00 90.00°
Fractional coordinates of all 4 atoms:
Y 0.000 0.000 0.000
Zr 0.000 0.000 0.541
Zr 0.500 0.500 0.310
Ta 0.500 0.500 0.719

An optimized crystal structure of YbTa. Source: Alexandria via LeMat-Bulk, functional PBE.

Its space-group type is P-6m2 (187).

Cell: 3.132 3.132 5.314 Å, 90.00 90.00 120.00°
Fractional coordinates of all 2 atoms:
Yb 0.000 0.000 0.000
Ta 0.333 0.667 0.500

An optimized crystal structure of TaZn. Source: Alexandria via LeMat-Bulk, functional PBE.

Its space-group type is P4/nmm (129).

Cell: 3.442 3.442 5.756 Å, 90.00 90.00 90.00°
Fractional coordinates of all 4 atoms:
Ta 0.250 0.250 0.112
Ta 0.750 0.750 0.888
Zn 0.250 0.250 0.619
Zn 0.750 0.750 0.381

An optimized crystal structure of TaZn4. Source: Alexandria via LeMat-Bulk, functional PBE.

Its space-group type is Pm-3m (221). Its energy above the most stable polymorph in this dataset is 4.94 eV per formula unit.

Cell: 5.111 5.111 5.111 Å, 90.00 90.00 90.00°
Fractional coordinates of all 5 atoms:
Ta 0.000 0.000 0.000
Zn 0.000 0.000 0.500
Zn 0.000 0.500 0.000
Zn 0.500 0.000 0.000
Zn 0.500 0.500 0.500

An optimized crystal structure of TaZn. Source: Alexandria via LeMat-Bulk, functional PBE.

Its space-group type is R-3m (166).

Cell: 4.996 4.996 4.996 Å, 33.50 33.50 33.50°
Fractional coordinates of all 2 atoms:
Ta 0.000 0.000 0.000
Zn 0.500 0.500 0.500

An optimized crystal structure of TaZn. Source: Alexandria via LeMat-Bulk, functional PBE.

Its space-group type is P-6m2 (187).

Cell: 2.861 2.861 4.750 Å, 90.00 90.00 120.00°
Fractional coordinates of all 2 atoms:
Ta 0.000 0.000 0.000
Zn 0.333 0.667 0.500

An optimized crystal structure of TaZn. Source: Alexandria via LeMat-Bulk, functional PBE.

Its space-group type is P4_2/mnm (136).

Cell: 5.160 5.160 5.318 Å, 90.00 90.00 90.00°
Fractional coordinates of all 8 atoms:
Ta 0.181 0.181 0.000
Ta 0.319 0.681 0.500
Ta 0.681 0.319 0.500
Ta 0.819 0.819 0.000
Zn 0.179 0.179 0.500
Zn 0.321 0.679 0.000
Zn 0.679 0.321 0.000
Zn 0.821 0.821 0.500

An optimized crystal structure of Ta3Zn. Source: Alexandria via LeMat-Bulk, functional PBE.

Its space-group type is R-3m (166).

Cell: 9.974 9.974 9.974 Å, 16.71 16.71 16.71°
Fractional coordinates of all 4 atoms:
Ta 0.000 0.000 0.000
Ta 0.247 0.247 0.247
Ta 0.753 0.753 0.753
Zn 0.500 0.500 0.500

An optimized crystal structure of TaZn. Source: Alexandria via LeMat-Bulk, functional PBE.

Its space-group type is P2_13 (198).

Cell: 5.103 5.103 5.103 Å, 90.00 90.00 90.00°
Fractional coordinates of all 8 atoms:
Ta 0.092 0.408 0.592
Ta 0.408 0.592 0.092
Ta 0.592 0.092 0.408
Ta 0.908 0.908 0.908
Zn 0.095 0.905 0.405
Zn 0.405 0.095 0.905
Zn 0.595 0.595 0.595
Zn 0.905 0.405 0.095

Formation energy from the elements, record by record: 362 358 410 195 563 176 1201 167 160 575 191 283 meV per atom